{
  "formula": "Rb2LiZr2Se6",
  "functional": "GGA-PBE",
  "state": "optimized geometry",
  "sg": "C2/m, No. 12",
  "final_energy_ev_per_atom": -5.0359,
  "magnetic_moment_mub_per_fu": 0.0,
  "formation_energy_uncorrected_ev_per_atom": -1.23,
  "volume_a3_per_atom": 29.97,
  "lattice": [[3.398, -5.860, 0.000], [3.398, 5.860, 0.000], [-2.156, 0.000, 8.277]],
  "species": ["Rb", "Rb", "Li", "Zr", "Zr", "Se", "Se", "Se", "Se", "Se", "Se"],
  "frac_coords": [[0.164, 0.836, 0.000], [0.836, 0.164, 0.000], [0.000, 0.000, 0.500], [0.333, 0.667, 0.500], [0.667, 0.333, 0.500], [0.062, 0.405, 0.687], [0.293, 0.293, 0.309], [0.405, 0.062, 0.687], [0.595, 0.938, 0.313], [0.707, 0.707, 0.691], [0.938, 0.595, 0.313]]
}